# Rb2CrInF6, relaxed, DFT PBE with a Hubbard U
# D(E_F) in states/eV/atom: 0.00
# VASP energy in eV per atom: -4.941
# Crystal system: cubic
data_Rb2CrInF6
_chemical_formula_sum 'Rb8 Cr4 In4 F24'
_cell_length_a 9.1055
_cell_length_b 9.1055
_cell_length_c 9.1055
_cell_angle_alpha 90.00
_cell_angle_beta 90.00
_cell_angle_gamma 90.00
_symmetry_space_group_name_H-M 'F m -3 m'
_symmetry_Int_Tables_number 225
_symmetry_space_group_name_Hall '-F 4 2 3'
loop_
_atom_site_label
_atom_site_type_symbol
_atom_site_fract_x
_atom_site_fract_y
_atom_site_fract_z
Rb1 Rb 0.2500 0.2500 0.2500
Cr1 Cr 0.0000 0.0000 0.0000
In1 In 0.0000 0.0000 0.5000
F1 F 0.0000 0.0000 0.2153